# Nd2PaBi5

A relaxed structure of Nd2PaBi5 (PBE, Alexandria).

* energy of formation: -339 kJ/mol of formula units
* space-group type: Pbam

The structure in POSCAR format:
```
Nd2PaBi5
1.0
4.5387 0.0000 0.0000
0.0000 8.1780 0.0000
0.0000 0.0000 14.2445
Nd Pa Bi
4 2 10
Cartesian
2.2693 5.0710 2.5765 Nd
2.2693 3.1070 11.6680 Nd
2.2693 7.1960 9.6987 Nd
2.2693 0.9820 4.5458 Nd
0.0000 4.0890 7.1222 Pa
0.0000 0.0000 0.0000 Pa
0.0000 0.0000 7.1222 Bi
0.0000 4.0890 0.0000 Bi
0.0000 7.4222 2.9743 Bi
0.0000 0.7557 11.2702 Bi
0.0000 4.8447 10.0965 Bi
0.0000 3.3332 4.1480 Bi
2.2693 6.0661 6.0547 Bi
2.2693 2.1119 8.1898 Bi
2.2693 6.2009 13.1769 Bi
2.2693 1.9771 1.0676 Bi
```